DFT (PBE) results for an optimized crystal structure of LiFeCuSe3. Values from VASP.

Quantum ESPRESSO input file:
```
&SYSTEM
  ibrav = 0, nat = 12, ntyp = 4
/
ATOMIC_SPECIES
Se 78.96 Se.upf
Fe 55.84 Fe.upf
Li 6.94 Li.upf
Cu 63.55 Cu.upf
CELL_PARAMETERS angstrom
6.271 -1.744 0.000
6.271 1.744 0.000
0.000 0.000 9.632
ATOMIC_POSITIONS crystal
Se 0.638 0.638 0.962
Se 0.090 0.090 0.250
Se 0.910 0.910 0.750
Se 0.638 0.638 0.538
Se 0.362 0.362 0.462
Se 0.362 0.362 0.038
Fe 0.000 0.000 0.500
Fe 0.000 0.000 0.000
Li 0.228 0.228 0.750
Li 0.772 0.772 0.250
Cu 0.458 0.458 0.250
Cu 0.542 0.542 0.750
```

Summary:
Final energy: -4.411 eV per atom
Total magnetization: 2.41 μB per formula unit
Crystal system: orthorhombic